No. 1
Hf3Zn3CuAu2: relaxed, PBE.

**Size of the total moment**: 0.003 μB per cell
**DFT formation energy**: -350 meV/atom
**VASP energy**: -5.2293 eV/atom
**Crystal system**: hexagonal

Cell: 7.2383 7.2383 3.4608 Å, 90.00 90.00 120.00°
Atoms (fractional coordinates):
1 Hf 0.0000 0.6108 0.0000
2 Hf 0.3892 0.3892 0.0000
3 Hf 0.6108 0.0000 0.0000
4 Zn 0.0000 0.2559 0.5000
5 Zn 0.2559 0.0000 0.5000
6 Zn 0.7441 0.7441 0.5000
7 Cu 0.0000 0.0000 0.0000
8 Au 0.3333 0.6667 0.5000
9 Au 0.6667 0.3333 0.5000

***

No. 2
InCuHgAu: relaxed, PBE.

**Energy above the most stable polymorph in this dataset**: 0.000 eV/atom
**VASP energy**: -2.4068 eV/atom
**Crystal system**: cubic

Cell: 6.7371 6.7371 6.7371 Å, 90.00 90.00 90.00°
Atoms (fractional coordinates):
1 In 0.0000 0.0000 0.0000
2 In 0.0000 0.5000 0.5000
3 In 0.5000 0.0000 0.5000
4 In 0.5000 0.5000 0.0000
5 Cu 0.2500 0.2500 0.2500
6 Cu 0.2500 0.7500 0.7500
7 Cu 0.7500 0.2500 0.7500
8 Cu 0.7500 0.7500 0.2500
9 Hg 0.0000 0.0000 0.5000
10 Hg 0.0000 0.5000 0.0000
11 Hg 0.5000 0.0000 0.0000
12 Hg 0.5000 0.5000 0.5000
13 Au 0.2500 0.2500 0.7500
14 Au 0.2500 0.7500 0.2500
15 Au 0.7500 0.2500 0.2500
16 Au 0.7500 0.7500 0.7500

***

No. 3
Y3Mg3CuHgAu: relaxed, PBE.

**Size of the total moment**: 0.043 μB per cell
**VASP energy**: -3.9319 eV/atom
**Crystal system**: hexagonal

Cell: 7.6650 7.6650 4.0873 Å, 90.00 90.00 120.00°
Atoms (fractional coordinates):
1 Y 0.0111 0.5996 0.0000
2 Y 0.4004 0.4114 0.0000
3 Y 0.5886 0.9889 0.0000
4 Mg 0.0000 0.2389 0.5000
5 Mg 0.2389 0.0000 0.5000
6 Mg 0.7611 0.7611 0.5000
7 Cu 0.0000 0.0000 0.0000
8 Hg 0.6667 0.3333 0.5000
9 Au 0.3333 0.6667 0.5000

***

No. 4
CuSiHgAu: relaxed, PBE.

**Energy above the most stable polymorph in this dataset**: 0.000 eV/atom
**VASP energy**: -2.8276 eV/atom
**Crystal system**: cubic

Cell: 6.5406 6.5406 6.5406 Å, 90.00 90.00 90.00°
Atoms (fractional coordinates):
1 Cu 0.0000 0.0000 0.0000
2 Cu 0.0000 0.5000 0.5000
3 Cu 0.5000 0.0000 0.5000
4 Cu 0.5000 0.5000 0.0000
5 Si 0.2500 0.2500 0.7500
6 Si 0.2500 0.7500 0.2500
7 Si 0.7500 0.2500 0.2500
8 Si 0.7500 0.7500 0.7500
9 Hg 0.2500 0.2500 0.2500
10 Hg 0.2500 0.7500 0.7500
11 Hg 0.7500 0.2500 0.7500
12 Hg 0.7500 0.7500 0.2500
13 Au 0.0000 0.0000 0.5000
14 Au 0.0000 0.5000 0.0000
15 Au 0.5000 0.0000 0.0000
16 Au 0.5000 0.5000 0.5000

***

No. 5
CuSnHgAu: relaxed, PBE.

**Energy above the most stable polymorph in this dataset**: 0.000 eV/atom
**VASP energy**: -2.6740 eV/atom
**Crystal system**: cubic

Cell: 6.8397 6.8397 6.8397 Å, 90.00 90.00 90.00°
Atoms (fractional coordinates):
1 Cu 0.0000 0.0000 0.0000
2 Cu 0.0000 0.5000 0.5000
3 Cu 0.5000 0.0000 0.5000
4 Cu 0.5000 0.5000 0.0000
5 Sn 0.2500 0.2500 0.7500
6 Sn 0.2500 0.7500 0.2500
7 Sn 0.7500 0.2500 0.2500
8 Sn 0.7500 0.7500 0.7500
9 Hg 0.2500 0.2500 0.2500
10 Hg 0.2500 0.7500 0.7500
11 Hg 0.7500 0.2500 0.7500
12 Hg 0.7500 0.7500 0.2500
13 Au 0.0000 0.0000 0.5000
14 Au 0.0000 0.5000 0.0000
15 Au 0.5000 0.0000 0.0000
16 Au 0.5000 0.5000 0.5000

***

No. 6
HoCuAu4: relaxed, PBE.

**Size of the total moment**: 0.002 μB per cell
**Energy above the most stable polymorph in this dataset**: 0.000 eV/atom
**DFT formation energy**: -390 meV/atom
**VASP energy**: -3.9496 eV/atom
**Crystal system**: tetragonal

Cell: 3.5787 3.5787 8.8269 Å, 90.00 90.00 90.00°
Atoms (fractional coordinates):
1 Ho 0.0000 0.0000 0.0000
2 Cu 0.5000 0.5000 0.5000
3 Au 0.0000 0.0000 0.3455
4 Au 0.0000 0.0000 0.6545
5 Au 0.5000 0.5000 0.1843
6 Au 0.5000 0.5000 0.8157

***

No. 7
HoCuAu4: relaxed, PBE.

**Size of the total moment**: 0.003 μB per cell
**Energy above the most stable polymorph in this dataset**: 0.084 eV/atom
**DFT formation energy**: -305 meV/atom
**VASP energy**: -3.8651 eV/atom
**Crystal system**: cubic

Cell: 5.4982 5.4982 5.4982 Å, 60.00 60.00 60.00°
Atoms (fractional coordinates):
1 Ho 0.0000 0.0000 0.0000
2 Cu 0.2500 0.2500 0.2500
3 Au 0.1262 0.6246 0.6246
4 Au 0.6246 0.1262 0.6246
5 Au 0.6246 0.6246 0.1262
6 Au 0.6246 0.6246 0.6246

***

No. 8
Ho2CuAu3: relaxed, PBE.

**Size of the total moment**: 0.001 μB per cell
**DFT formation energy**: -718 meV/atom
**VASP energy**: -4.4960 eV/atom
**Crystal system**: tetragonal

Cell: 3.6966 3.6966 8.9270 Å, 90.00 90.00 90.00°
Atoms (fractional coordinates):
1 Ho 0.0000 0.0000 0.0000
2 Ho 0.5000 0.5000 0.4957
3 Cu 0.5000 0.5000 0.1685
4 Au 0.0000 0.0000 0.3223
5 Au 0.0000 0.0000 0.6611
6 Au 0.5000 0.5000 0.8416

***

No. 9
HoTm2In3CuAu2: relaxed, PBE.

**Size of the total moment**: 0.002 μB per cell
**VASP energy**: -4.2141 eV/atom
**Crystal system**: orthorhombic

Cell: 3.8190 7.7464 7.7464 Å, 120.13 90.00 90.00°
Atoms (fractional coordinates):
1 Ho 0.0000 0.0000 0.0000
2 Tm 0.0000 0.4023 0.8040
3 Tm 0.0000 0.8040 0.4023
4 In 0.5000 0.1504 0.4028
5 In 0.5000 0.4028 0.1504
6 In 0.5000 0.6545 0.6545
7 Cu 0.0000 0.4029 0.4029
8 Au 0.5000 0.0697 0.7342
9 Au 0.5000 0.7342 0.0697

***

No. 10
Ho2TmIn3CuAu2: relaxed, PBE.

**Size of the total moment**: 0.002 μB per cell
**VASP energy**: -4.2289 eV/atom
**Crystal system**: orthorhombic

Cell: 3.8272 7.7499 7.7499 Å, 119.88 90.00 90.00°
Atoms (fractional coordinates):
1 Ho 0.0000 0.2013 0.7987
2 Ho 0.0000 0.7987 0.2013
3 Tm 0.0000 0.6031 0.6031
4 In 0.5000 0.2016 0.4530
5 In 0.5000 0.4530 0.2016
6 In 0.5000 0.9499 0.9499
7 Cu 0.0000 0.2020 0.2020
8 Au 0.5000 0.5353 0.8664
9 Au 0.5000 0.8664 0.5353

***

No. 11
HoTm2Mg3CuAu2: relaxed, PBE.

**Size of the total moment**: 0.010 μB per cell
**VASP energy**: -3.6962 eV/atom
**Crystal system**: orthorhombic

Cell: 3.9866 7.5569 7.5569 Å, 120.15 90.00 90.00°
Atoms (fractional coordinates):
1 Ho 0.0000 0.0000 0.0000
2 Tm 0.0000 0.1788 0.5893
3 Tm 0.0000 0.5893 0.1788
4 Mg 0.5000 0.3480 0.3480
5 Mg 0.5000 0.5891 0.8305
6 Mg 0.5000 0.8305 0.5891
7 Cu 0.0000 0.5879 0.5879
8 Au 0.5000 0.2579 0.9221
9 Au 0.5000 0.9221 0.2579

***

No. 12
Ho2ScZn3CuAu2: relaxed, PBE.

**Size of the total moment**: 0.024 μB per cell
**DFT formation energy**: -567 meV/atom
**VASP energy**: -3.8482 eV/atom
**Crystal system**: orthorhombic

Cell: 3.8685 7.1867 7.1867 Å, 119.55 90.00 90.00°
Atoms (fractional coordinates):
1 Ho 0.0000 0.2029 0.7971
2 Ho 0.0000 0.7971 0.2029
3 Sc 0.0000 0.6024 0.6024
4 Zn 0.5000 0.2067 0.4401
5 Zn 0.5000 0.4401 0.2067
6 Zn 0.5000 0.9686 0.9686
7 Cu 0.0000 0.2101 0.2101
8 Au 0.5000 0.5392 0.8598
9 Au 0.5000 0.8598 0.5392

***

No. 13
Ho3Zn3Cu2Au: relaxed, PBE.

**Size of the total moment**: 0.003 μB per cell
**DFT formation energy**: -435 meV/atom
**VASP energy**: -3.5715 eV/atom
**Crystal system**: hexagonal

Cell: 7.2751 7.2751 3.7888 Å, 90.00 90.00 120.00°
Atoms (fractional coordinates):
1 Ho 0.0000 0.5916 0.0000
2 Ho 0.4084 0.4084 0.0000
3 Ho 0.5916 0.0000 0.0000
4 Zn 0.0000 0.2672 0.5000
5 Zn 0.2672 0.0000 0.5000
6 Zn 0.7328 0.7328 0.5000
7 Cu 0.3333 0.6667 0.5000
8 Cu 0.6667 0.3333 0.5000
9 Au 0.0000 0.0000 0.0000

***

No. 14
CuAu2I4: relaxed, PBE.

**VASP energy**: -2.4038 eV/atom
**Crystal system**: tetragonal

Cell: 6.2006 6.2006 12.5389 Å, 90.00 90.00 90.00°
Atoms (fractional coordinates):
1 Cu 0.0000 0.0000 0.0000
2 Cu 0.5000 0.5000 0.5000
3 Au 0.0000 0.0000 0.5000
4 Au 0.0000 0.5000 0.7500
5 Au 0.5000 0.0000 0.2500
6 Au 0.5000 0.5000 0.0000
7 I 0.2241 0.7498 0.1250
8 I 0.2502 0.2241 0.8750
9 I 0.2498 0.2759 0.3750
10 I 0.2759 0.7502 0.6250
11 I 0.7241 0.2498 0.6250
12 I 0.7502 0.7241 0.3750
13 I 0.7498 0.7759 0.8750
14 I 0.7759 0.2502 0.1250